[1]
Density functional theory data (GGA-PBE) for a geometry-optimized Al2Zn2Cu7 structure.

a b c (Å): 6.493 6.493 6.493
angles (deg): 142.91 77.00 115.29
Sites, in units of the cell vectors:
Al 0.238 0.000 0.238
Al 0.762 0.000 0.762
Zn 0.476 0.976 0.500
Zn 0.699 0.699 0.000
Cu 0.023 0.670 0.353
Cu 0.059 0.059 0.000
Cu 0.242 0.375 0.866
Cu 0.318 0.670 0.647
Cu 0.509 0.375 0.134
Cu 0.695 0.319 0.376
Cu 0.943 0.319 0.624

Formation energy: -0.10 eV/atom
DOS at the Fermi energy: 3.8 states/eV per cell


[2]
Density functional theory data (GGA-PBE) for a geometry-optimized Rb2Tl9Hg4 structure.

a b c (Å): 5.387 5.387 20.512
angles (deg): 90.00 90.00 120.00
Sites, in units of the cell vectors:
Rb 0.333 0.667 0.264
Rb 0.667 0.333 0.736
Tl 0.000 0.000 0.000
Tl 0.000 0.000 0.155
Tl 0.000 0.000 0.411
Tl 0.000 0.000 0.589
Tl 0.000 0.000 0.845
Tl 0.333 0.667 0.061
Tl 0.333 0.667 0.470
Tl 0.667 0.333 0.530
Tl 0.667 0.333 0.939
Hg 0.333 0.667 0.638
Hg 0.333 0.667 0.880
Hg 0.667 0.333 0.120
Hg 0.667 0.333 0.362

Formation energy: -0.08 eV/atom
DOS at the Fermi energy: 6.1 states/eV per cell


[3]
Density functional theory data (GGA-PBE) for a geometry-optimized CsSrICl2 structure.

a b c (Å): 5.725 5.725 6.566
angles (deg): 90.00 90.00 90.00
Sites, in units of the cell vectors:
Cs 0.000 0.000 0.000
Sr 0.500 0.500 0.500
I 0.500 0.500 0.000
Cl 0.000 0.500 0.500
Cl 0.500 0.000 0.500

E_form (uncorrected): -2.0655 eV/atom
DOS at the Fermi energy: 0.0 states/eV per cell